NaTaMn2O6 | GGA+U | relaxed

```
10
Lattice="2.6240 1.5150 4.9354 -2.6240 1.5150 4.9354 0.0000 -3.0299 4.9354" Properties=species:S:1:pos:R:3 pbc="T T T"
Na 0.0000 0.0000 0.0000
Ta 0.0000 0.0000 7.1137
Mn 0.0000 0.0000 4.1115
Mn 0.0000 0.0000 11.6690
O -1.4964 -0.3187 5.7365
O -0.9927 -1.4702 7.9607
O 1.0242 -1.1365 5.7365
O -0.7769 1.5948 7.9607
O 0.4722 1.4552 5.7365
O 1.7696 -0.1246 7.9607
```

Calculated values
DFT total energy in eV for the cell shown: -78.4
M_tot in μB/cell: 8.00